(1)
Computed, not measured: a relaxed Ce2NdDy3P6 crystal at the PBE level of DFT. Values from VASP.

The structure in Quantum ESPRESSO input format:
```
&SYSTEM
  ibrav = 0, nat = 12, ntyp = 4
/
ATOMIC_SPECIES
Ce 140.12 Ce.upf
Nd 144.24 Nd.upf
Dy 162.50 Dy.upf
P 30.97 P.upf
CELL_PARAMETERS angstrom
-0.6639 5.9810 3.6410
-5.5477 -2.6908 -3.3841
0.4579 -4.5619 5.3128
ATOMIC_POSITIONS crystal
Ce 0.3331 0.6669 0.0000
Ce 0.6669 0.3331 0.0000
Nd 0.0000 0.0000 0.0000
Dy 0.1657 0.8343 0.5000
Dy 0.8343 0.1657 0.5000
Dy 0.5000 0.5000 0.5000
P 0.9151 0.5769 0.7456
P 0.7468 0.7468 0.2552
P 0.0849 0.4231 0.2544
P 0.5769 0.9151 0.7456
P 0.2532 0.2532 0.7448
P 0.4231 0.0849 0.2544
```

Values from the calculation:
For the energy of formation, the calculation gives -151.3 kJ/mol of atoms.



(2)
Computed, not measured: a relaxed RbNdPbS3 crystal at the PBE level of DFT. Values from VASP.

The structure in Quantum ESPRESSO input format:
```
&SYSTEM
  ibrav = 0, nat = 12, ntyp = 4
/
ATOMIC_SPECIES
Rb 85.47 Rb.upf
Nd 144.24 Nd.upf
Pb 207.20 Pb.upf
S 32.06 S.upf
CELL_PARAMETERS angstrom
4.1568 0.0000 0.0000
0.0000 8.0090 -0.6096
0.0000 -3.2701 11.9822
ATOMIC_POSITIONS crystal
Rb 0.2500 0.0862 0.1693
Rb 0.7500 0.9138 0.8307
Nd 0.2500 0.5797 0.1517
Nd 0.7500 0.4203 0.8483
Pb 0.2500 0.2820 0.5548
Pb 0.7500 0.7180 0.4452
S 0.7500 0.8253 0.2566
S 0.2500 0.1747 0.7434
S 0.2500 0.4927 0.3585
S 0.7500 0.5073 0.6415
S 0.7500 0.3294 0.0515
S 0.2500 0.6706 0.9485
```

Values from the calculation:
The uncorrected formation energy is -1347 meV/atom.



(3)
Computed, not measured: a relaxed Hf4SbC crystal at the PBE level of DFT. Values from VASP.

The structure in Quantum ESPRESSO input format:
```
&SYSTEM
  ibrav = 0, nat = 12, ntyp = 3
/
ATOMIC_SPECIES
Hf 178.49 Hf.upf
Sb 121.76 Sb.upf
C 12.01 C.upf
CELL_PARAMETERS angstrom
5.6516 -0.4270 0.0000
-1.3869 6.7459 0.0000
-2.1323 -3.1595 6.4848
ATOMIC_POSITIONS crystal
Hf 0.2977 0.9137 0.5859
Hf 0.0544 0.8559 0.1078
Hf 0.2117 0.3278 0.4141
Hf 0.4466 0.7480 0.8922
Hf 0.7023 0.0863 0.4141
Hf 0.7883 0.6722 0.5859
Hf 0.9456 0.1441 0.8922
Hf 0.5534 0.2520 0.1078
Sb 0.3560 0.6060 0.2120
Sb 0.6440 0.3940 0.7880
C 0.8175 0.0675 0.1350
C 0.1825 0.9325 0.8650
```

Values from the calculation:
The uncorrected formation energy is -387 meV/atom.



Computed E_tot (eV for the cell shown) in order:
-81.7, -59.8, -111.0